Below is crystalline LiInCl2 at its relaxed geometry, with properties calculated at the PBEsol level.

**Spin magnetization**: 0.00 μB per formula unit
**Formation energy (no corrections)**: -1.234 eV per atom
**SG**: R-3m, No. 166
**Crystal system**: trigonal
**Calculated volume**: 22.065 Å³ per atom

```
LiInCl2
1.0
3.759 0.000 0.000
1.880 3.256 0.000
1.880 1.085 7.212
Cl Li In
2 1 1
Cartesian
1.880 1.085 1.387 Cl
5.639 3.256 5.825 Cl
0.000 0.000 0.000 Li
3.759 2.170 3.606 In
```